# 1
# Sm2Zn3Pd4

A geometry-optimized Sm2Zn3Pd4 structure (PBE, OQMD via LeMat-Bulk).

Cell: 8.218 8.218 7.651 Å, 90.00 90.00 139.91°
Fractional coordinates of all 18 atoms:
1 Zn 0.523 0.977 0.750
2 Zn 0.000 0.000 0.500
3 Sm 0.386 0.614 0.420
4 Pd 0.691 0.809 0.750
5 Pd 0.677 0.323 0.977
6 Sm 0.614 0.386 0.580
7 Zn 0.977 0.523 0.250
8 Pd 0.809 0.691 0.250
9 Pd 0.323 0.677 0.023
10 Sm 0.886 0.114 0.080
11 Pd 0.191 0.309 0.750
12 Pd 0.309 0.191 0.250
13 Zn 0.023 0.477 0.750
14 Sm 0.114 0.886 0.920
15 Zn 0.477 0.023 0.250
16 Zn 0.500 0.500 0.000
17 Pd 0.177 0.823 0.523
18 Pd 0.823 0.177 0.477

Size of the total moment (μB per formula unit): 0.01
SG: Cmce, No. 64
Formation enthalpy at 0 K (eV per formula unit): -6.5

***

# 2
# Ga2CoSn

A geometry-optimized Ga2CoSn structure (PBE, OQMD via LeMat-Bulk).

Cell: 4.599 4.599 4.599 Å, 60.00 60.00 60.00°
Fractional coordinates of all 4 atoms:
1 Ga 0.000 0.000 0.000
2 Co 0.250 0.250 0.250
3 Ga 0.750 0.750 0.750
4 Sn 0.500 0.500 0.500

Size of the total moment (μB per formula unit): 0.01
SG: F-43m, No. 216
Total energy (eV per cell): -16.05

***

# 3
# BaNbB

A geometry-optimized BaNbB structure (PBE, OQMD via LeMat-Bulk).

Cell: 4.767 4.767 4.767 Å, 60.00 60.00 60.00°
Fractional coordinates of all 3 atoms:
1 Ba 0.000 0.000 0.000
2 Nb 0.750 0.750 0.750
3 B 0.250 0.250 0.250

Size of the total moment (μB per formula unit): 2.11
SG: F-43m, No. 216
Total energy (eV per cell): -11.44

***

# 4
# HfMgBi2

A geometry-optimized HfMgBi2 structure (PBE, OQMD via LeMat-Bulk).

Cell: 5.319 5.319 5.319 Å, 60.00 60.00 60.00°
Fractional coordinates of all 4 atoms:
1 Bi 0.000 0.000 0.000
2 Bi 0.250 0.250 0.250
3 Hf 0.500 0.500 0.500
4 Mg 0.750 0.750 0.750

Size of the total moment (μB per formula unit): 0.01
SG: F-43m, No. 216
Total energy (eV per cell): -18.26

***

# 5
# YErCS

A geometry-optimized YErCS structure (PBE, OQMD via LeMat-Bulk).

Cell: 3.688 3.688 12.842 Å, 90.00 90.00 120.00°
Fractional coordinates of all 8 atoms:
1 C 0.000 0.000 0.500
2 S 0.333 0.667 0.247
3 S 0.667 0.333 0.753
4 Er 0.333 0.667 0.897
5 C 0.000 0.000 0.000
6 Er 0.667 0.333 0.103
7 Y 0.333 0.667 0.605
8 Y 0.667 0.333 0.395

Size of the total moment (μB per formula unit): 0.00
SG: P-3m1, No. 164
Total energy (eV per cell): -58.97

***

# 6
# TmNb

A geometry-optimized TmNb structure (PBE, OQMD via LeMat-Bulk).

Cell: 3.581 3.581 7.714 Å, 90.00 90.00 120.00°
Fractional coordinates of all 4 atoms:
1 Nb 0.667 0.333 0.750
2 Tm 0.000 0.000 0.000
3 Nb 0.333 0.667 0.250
4 Tm 0.000 0.000 0.500

Size of the total moment (μB per formula unit): 0.00
SG: P6_3/mmc, No. 194
Formation enthalpy at 0 K (eV per formula unit): 2.0